1.
Computed, not measured: an optimized crystal structure of LiBeRe3 at the GGA-PBE level of DFT.

Values from the calculation:
**E_form**: 1.606 eV/atom

a b c (Å): 4.092 4.092 4.092
angles (deg): 90.00 90.00 90.00
Sites, in units of the cell vectors:
Re  0.000  0.500  0.000
Re  0.000  0.000  0.500
Re  0.500  0.000  0.000
Li  0.000  0.000  0.000
Be  0.500  0.500  0.500

=====

2.
Computed, not measured: an optimized crystal structure of LiBeRe at the GGA-PBE level of DFT.

Values from the calculation:
**E_form**: 1.311 eV/atom

a b c (Å): 3.717 3.717 3.717
angles (deg): 60.00 60.00 60.00
Sites, in units of the cell vectors:
Be  0.500  0.500  0.500
Li  0.750  0.750  0.750
Re  0.000  0.000  0.000